## PrZn3In (PBE)

Data for crystalline PrZn3In at its relaxed geometry.

## Properties
The calculation puts the distance to the lowest polymorph of the same formula at 0 meV per atom. The density of states at the Fermi level comes out at 7.33 states/eV/cell. As for the energy: -2.62 eV/atom. As for the symmetry: Cmme.

Lattice parameters (Å, degrees): 6.1906 6.1842 10.9579 89.99 90.00 90.00
Last column: nearest neighbours and their distance in Å.
Atoms (fractional coordinates):
Zn  0.0000  0.7242  0.6389  3 Zn 2.44-2.57
Zn  0.2503  0.5000  0.0000  4 Zn 2.57
Zn  0.0000  0.2760  0.1387  3 Zn 2.44-2.57
Zn  0.5000  0.7242  0.1389  3 Zn 2.44-2.57
Zn  0.5000  0.7240  0.3613  3 Zn 2.44-2.57
Zn  0.0000  0.2758  0.3611  3 Zn 2.44-2.57
Zn  0.5000  0.2758  0.8611  3 Zn 2.44-2.57
Zn  0.7503  0.5000  0.5000  4 Zn 2.57
Zn  0.0000  0.7240  0.8613  3 Zn 2.44-2.57
Zn  0.7497  0.5000  0.0000  4 Zn 2.57
Zn  0.2497  0.5000  0.5000  4 Zn 2.57
Zn  0.5000  0.2760  0.6387  3 Zn 2.44-2.57
In  0.2500  0.0000  0.0000  4 Zn 2.76
In  0.2500  0.0000  0.5000  4 Zn 2.76
In  0.7500  0.0000  0.5000  4 Zn 2.76
In  0.7500  0.0000  0.0000  4 Zn 2.76
Pr  0.5000  0.2479  0.2500  12 Zn 3.19-3.51, 4 In 3.50
Pr  0.0000  0.7521  0.2500  12 Zn 3.19-3.51, 4 In 3.50
Pr  0.0000  0.2479  0.7500  12 Zn 3.19-3.51, 4 In 3.50
Pr  0.5000  0.7521  0.7500  12 Zn 3.19-3.51, 4 In 3.50


## Pr3ZnIn3 (PBE)

Data for crystalline Pr3ZnIn3 at its relaxed geometry.

## Properties
The density of states at the Fermi level comes out at 11.73 states/eV/cell. As for the energy: -3.85 eV/atom. As for the symmetry: C2/m.

Lattice parameters (Å, degrees): 4.7821 6.2534 14.8007 83.54 80.70 67.52
Last column: nearest neighbours and their distance in Å.
Atoms (fractional coordinates):
In  0.8643  0.7243  0.5471  2 Zn 2.75, 1 In 3.00
In  0.0399  0.1597  0.7605  1 Zn 2.76, 1 In 3.01
In  0.8808  0.1666  0.0718  2 In 2.93-3.01, 1 Pr 3.26
In  0.1357  0.2757  0.4529  2 Zn 2.75, 1 In 3.00
In  0.1192  0.8334  0.9282  2 In 2.93-3.01, 1 Pr 3.26
In  0.9601  0.8403  0.2395  1 Zn 2.76, 1 In 3.01
Pr  0.4068  0.2711  0.9153  7 In 3.26-3.48
Pr  0.4512  0.7093  0.3883  7 In 3.29-3.55, 4 Zn 3.32-3.47
Pr  0.5932  0.7289  0.0847  7 In 3.26-3.48
Pr  0.2541  0.2702  0.2215  6 In 3.32-3.45, 2 Zn 3.53
Pr  0.7459  0.7298  0.7785  6 In 3.32-3.45, 2 Zn 3.53
Pr  0.5488  0.2907  0.6117  7 In 3.29-3.55, 4 Zn 3.32-3.47
Zn  0.2492  0.8922  0.6093  3 In 2.75-2.76
Zn  0.7508  0.1078  0.3907  3 In 2.75-2.76


## Pr3Zn4In2 (PBE)

Data for crystalline Pr3Zn4In2 at its relaxed geometry.

## Properties
The density of states at the Fermi level comes out at 6.76 states/eV/cell. As for the energy: -3.18 eV/atom. As for the symmetry: C2/m.

Lattice parameters (Å, degrees): 4.7265 6.0273 9.0386 110.87 90.00 113.08
Last column: nearest neighbours and their distance in Å.
Atoms (fractional coordinates):
In  0.3827  0.7655  0.7180  3 Zn 2.78-2.80
In  0.6173  0.2345  0.2820  3 Zn 2.78-2.80
Zn  0.7153  0.4305  0.0394  2 Zn 2.67, 1 In 2.80
Zn  0.9285  0.8570  0.5866  1 Zn 2.62, 2 In 2.78
Zn  0.0715  0.1430  0.4134  1 Zn 2.62, 2 In 2.78
Zn  0.2847  0.5695  0.9606  2 Zn 2.67, 1 In 2.80
Pr  0.0000  0.0000  0.0000  8 Zn 3.28-3.51, 4 In 3.35
Pr  0.6634  0.3269  0.6740  8 Zn 3.13-3.38, 4 In 3.29-3.38
Pr  0.3366  0.6731  0.3260  8 Zn 3.13-3.38, 4 In 3.29-3.38


## Pr3Zn2In7 (PBE)

Data for crystalline Pr3Zn2In7 at its relaxed geometry.

## Properties
The density of states at the Fermi level comes out at 5.26 states/eV/cell. As for the energy: -3.39 eV/atom. As for the symmetry: Cmmm.

Lattice parameters (Å, degrees): 4.4508 4.6476 15.1037 98.85 90.00 90.00
Last column: nearest neighbours and their distance in Å.
Atoms (fractional coordinates):
Zn  0.0000  0.8603  0.7206  5 In 2.56-2.84
Zn  0.0000  0.1397  0.2794  5 In 2.56-2.84
In  0.5000  0.9166  0.8331  2 Zn 2.79
In  0.0000  0.0000  0.0000  4 Pr 3.22, 8 In 3.34-3.44
In  0.0000  0.5851  0.1703  2 Zn 2.84
In  0.0000  0.4149  0.8297  2 Zn 2.84
In  0.0000  0.7746  0.5493  1 Zn 2.56, 2 In 2.75
In  0.5000  0.0834  0.1669  2 Zn 2.79
In  0.0000  0.2254  0.4507  1 Zn 2.56, 2 In 2.75
Pr  0.5000  0.6735  0.3470  4 Zn 3.37, 10 In 3.45-3.75
Pr  0.5000  0.3265  0.6530  4 Zn 3.37, 10 In 3.45-3.75
Pr  0.5000  0.5000  0.0000  12 In 3.22-3.41


## PrZn3In (PBE)

Data for crystalline PrZn3In at its relaxed geometry.

## Properties
The calculation puts the distance to the lowest polymorph of the same formula at 483 meV per atom. The density of states at the Fermi level comes out at 5.59 states/eV/cell. As for the energy: -2.14 eV/atom. As for the symmetry: I-4m2.

Lattice parameters (Å, degrees): 4.8269 4.8269 12.3029 101.31 101.31 90.00
Last column: nearest neighbours and their distance in Å.
Atoms (fractional coordinates):
Zn  0.1286  0.8763  0.2573  2 Zn 2.39-2.44
Zn  0.6598  0.6598  0.3197  4 Zn 2.79, 2 In 2.89
Zn  0.1286  0.3810  0.2573  2 Zn 2.39-2.44
Zn  0.1237  0.8714  0.7427  2 Zn 2.39-2.44
Zn  0.3402  0.3402  0.6803  4 Zn 2.79, 2 In 2.89
Zn  0.6190  0.8714  0.7427  2 Zn 2.39-2.44
Pr  0.0000  0.0000  0.0000  4 In 3.26, 4 Zn 3.28
Pr  0.2500  0.7500  0.5000  8 Zn 3.11-3.22
In  0.9075  0.4075  0.8151  6 Zn 2.84-2.89
In  0.5925  0.0925  0.1849  6 Zn 2.84-2.89


## Pr2Zn2In3 (PBE)

Data for crystalline Pr2Zn2In3 at its relaxed geometry.

## Properties
The density of states at the Fermi level comes out at 5.78 states/eV/cell. As for the energy: -3.30 eV/atom. As for the symmetry: Cmcm.

Lattice parameters (Å, degrees): 4.6922 7.3883 10.4363 90.00 102.99 90.00
Last column: nearest neighbours and their distance in Å.
Atoms (fractional coordinates):
In  0.5652  0.4396  0.1304  1 Zn 2.67, 2 In 2.80
In  0.7797  0.2500  0.5595  6 Zn 2.79-2.98
In  0.2203  0.7500  0.4405  6 Zn 2.79-2.98
In  0.4348  0.5604  0.8696  1 Zn 2.67, 2 In 2.80
In  0.4348  0.9396  0.8696  1 Zn 2.67, 2 In 2.80
In  0.5652  0.0604  0.1304  1 Zn 2.67, 2 In 2.80
Zn  0.3118  0.4354  0.6236  4 In 2.67-2.98, 1 Zn 2.74
Zn  0.3118  0.0646  0.6236  4 In 2.67-2.98, 1 Zn 2.74
Zn  0.6882  0.5646  0.3764  4 In 2.67-2.98, 1 Zn 2.74
Zn  0.6882  0.9354  0.3764  4 In 2.67-2.98, 1 Zn 2.74
Pr  0.0464  0.7500  0.0928  9 In 3.30-3.55
Pr  0.1621  0.2500  0.3243  6 Zn 3.34, 6 In 3.35-3.37
Pr  0.8379  0.7500  0.6757  6 Zn 3.34, 6 In 3.35-3.37
Pr  0.9536  0.2500  0.9072  9 In 3.30-3.55